LaPr3N4 after structural relaxation. Source: Alexandria, functional PBE.

- E_form (uncorrected) (eV per atom) = -1.294
- crystal system = cubic
- DOS(E_F) (states/eV/f.u.) = 1.86
- calculated density (g/cm3) = 7.1

Geometry as CIF:
```
data_LaPr3N4
_symmetry_space_group_name_H-M 'P m -3 m'
_symmetry_Int_Tables_number 221
_symmetry_space_group_name_Hall '-P 4 2 3'
_cell_length_a 5.2405
_cell_length_b 5.2405
_cell_length_c 5.2405
_cell_angle_alpha 90.00
_cell_angle_beta 90.00
_cell_angle_gamma 90.00
loop_
_atom_site_label
_atom_site_type_symbol
_atom_site_fract_x
_atom_site_fract_y
_atom_site_fract_z
La1 La 0.0000 0.0000 0.0000
Pr1 Pr 0.0000 0.5000 0.5000
N1 N 0.0000 0.0000 0.5000
N2 N 0.5000 0.5000 0.5000
```

=====

La5PrN4 after structural relaxation. Source: Alexandria, functional PBE.

- E_form (uncorrected) (eV per atom) = -1.065
- crystal system = monoclinic
- DOS(E_F) (states/eV/f.u.) = 5.51
- calculated density (g/cm3) = 6.6

Geometry as CIF:
```
data_La5PrN4
_symmetry_space_group_name_H-M 'C 1 2/m 1'
_symmetry_Int_Tables_number 12
_cell_length_a 16.2462
_cell_length_b 3.6933
_cell_length_c 7.6608
_cell_angle_alpha 90.00
_cell_angle_beta 102.46
_cell_angle_gamma 90.00
loop_
_symmetry_equiv_pos_as_xyz
'x,y,z'
'-x,-y,-z'
'-x,y,-z'
'x,-y,z'
'x+1/2,y+1/2,z'
'-x+1/2,-y+1/2,-z'
'-x+1/2,y+1/2,-z'
'x+1/2,-y+1/2,z'
loop_
_atom_site_label
_atom_site_type_symbol
_atom_site_fract_x
_atom_site_fract_y
_atom_site_fract_z
La1 La 0.0000 0.0000 0.0000
La2 La 0.1567 0.5000 0.7989
La3 La 0.1637 0.5000 0.3496
Pr1 Pr 0.0000 0.0000 0.5000
N1 N 0.0025 0.5000 0.7546
N2 N 0.1668 0.0000 0.5799
```

=====

La5Pr2N5 after structural relaxation. Source: Alexandria, functional PBE.

- E_form (uncorrected) (eV per atom) = -0.964
- crystal system = monoclinic
- DOS(E_F) (states/eV/f.u.) = 8.74
- calculated density (g/cm3) = 5.9

Geometry as CIF:
```
data_La5Pr2N5
_symmetry_space_group_name_H-M 'C 1 2/m 1'
_symmetry_Int_Tables_number 12
_cell_length_a 12.5137
_cell_length_b 3.5820
_cell_length_c 13.2232
_cell_angle_alpha 90.00
_cell_angle_beta 99.08
_cell_angle_gamma 90.00
loop_
_symmetry_equiv_pos_as_xyz
'x,y,z'
'-x,-y,-z'
'-x,y,-z'
'x,-y,z'
'x+1/2,y+1/2,z'
'-x+1/2,-y+1/2,-z'
'-x+1/2,y+1/2,-z'
'x+1/2,-y+1/2,z'
loop_
_atom_site_label
_atom_site_type_symbol
_atom_site_fract_x
_atom_site_fract_y
_atom_site_fract_z
La1 La 0.0000 0.0000 0.0000
La2 La 0.1479 0.0000 0.5630
La3 La 0.2225 0.0000 0.8801
Pr1 Pr 0.0732 0.5000 0.3270
N1 N 0.0000 0.5000 0.5000
N2 N 0.1423 0.5000 0.9686
N3 N 0.1914 0.0000 0.3930
```

=====

La4PrN4 after structural relaxation. Source: Alexandria, functional PBE.

- E_form (uncorrected) (eV per atom) = -0.719
- crystal system = tetragonal
- DOS(E_F) (states/eV/f.u.) = 5.87
- calculated density (g/cm3) = 5.9
- E above lowest polymorph (eV per atom) = 0.462

Geometry as CIF:
```
data_La4PrN4
_symmetry_space_group_name_H-M 'I -4 2 m'
_symmetry_Int_Tables_number 121
_symmetry_space_group_name_Hall 'I -4 2'
_cell_length_a 6.1730
_cell_length_b 6.1730
_cell_length_c 11.1334
_cell_angle_alpha 90.00
_cell_angle_beta 90.00
_cell_angle_gamma 90.00
loop_
_atom_site_label
_atom_site_type_symbol
_atom_site_fract_x
_atom_site_fract_y
_atom_site_fract_z
La1 La 0.0000 0.0000 0.2024
La2 La 0.0000 0.5000 0.0000
Pr1 Pr 0.0000 0.0000 0.5000
N1 N 0.2490 0.2490 0.6101
```

=====

LaPr4N4 after structural relaxation. Source: Alexandria, functional PBE.

- E_form (uncorrected) (eV per atom) = -1.160
- crystal system = tetragonal
- DOS(E_F) (states/eV/f.u.) = 4.20
- calculated density (g/cm3) = 7.0
- E above lowest polymorph (eV per atom) = 0.000

Geometry as CIF:
```
data_LaPr4N4
_symmetry_space_group_name_H-M 'I 4/m'
_symmetry_Int_Tables_number 87
_symmetry_space_group_name_Hall '-I 4'
_cell_length_a 8.3233
_cell_length_b 8.3233
_cell_length_c 5.2245
_cell_angle_alpha 90.00
_cell_angle_beta 90.00
_cell_angle_gamma 90.00
loop_
_atom_site_label
_atom_site_type_symbol
_atom_site_fract_x
_atom_site_fract_y
_atom_site_fract_z
La1 La 0.0000 0.0000 0.0000
Pr1 Pr 0.1100 0.6852 0.5000
N1 N 0.0947 0.7025 0.0000
```

=====

LaPr2N2 after structural relaxation. Source: Alexandria, functional PBE.

- E_form (uncorrected) (eV per atom) = -1.049
- crystal system = trigonal
- DOS(E_F) (states/eV/f.u.) = 3.10
- calculated density (g/cm3) = 6.6
- E above lowest polymorph (eV per atom) = 0.000

Geometry as CIF:
```
data_LaPr2N2
_symmetry_space_group_name_H-M 'R -3 m'
_symmetry_Int_Tables_number 166
_symmetry_space_group_name_Hall '-R 3 2"'
_cell_length_a 3.6909
_cell_length_b 3.6909
_cell_length_c 28.6907
_cell_angle_alpha 90.00
_cell_angle_beta 90.00
_cell_angle_gamma 120.00
loop_
_atom_site_label
_atom_site_type_symbol
_atom_site_fract_x
_atom_site_fract_y
_atom_site_fract_z
La1 La 0.0000 0.0000 0.0000
Pr1 Pr 0.0000 0.0000 0.2318
N1 N 0.0000 0.0000 0.3909
```

=====

LaPrPuN3 after structural relaxation. Source: Alexandria, functional PBE.

- E_form (uncorrected) (eV per atom) = -1.073
- crystal system = monoclinic
- DOS(E_F) (states/eV/f.u.) = 8.82
- calculated density (g/cm3) = 7.2

Geometry as CIF:
```
data_LaPrPuN3
_symmetry_space_group_name_H-M 'P 1 21/m 1'
_symmetry_Int_Tables_number 11
_cell_length_a 7.4059
_cell_length_b 3.7135
_cell_length_c 10.0175
_cell_angle_alpha 90.00
_cell_angle_beta 109.57
_cell_angle_gamma 90.00
loop_
_symmetry_equiv_pos_as_xyz
'x,y,z'
'-x,-y,-z'
'-x,y+1/2,-z'
'x,-y+1/2,z'
loop_
_atom_site_label
_atom_site_type_symbol
_atom_site_fract_x
_atom_site_fract_y
_atom_site_fract_z
La1 La 0.1781 0.2500 0.1512
Pr1 Pr 0.3086 0.7500 0.8828
Pu1 Pu 0.4079 0.2500 0.6093
N1 N 0.0884 0.2500 0.8941
N2 N 0.4327 0.2500 0.3939
N3 N 0.4418 0.7500 0.1401
```

=====

La4Pr3PuN8 after structural relaxation. Source: Alexandria, functional PBE.

- E_form (uncorrected) (eV per atom) = -1.282
- crystal system = trigonal
- DOS(E_F) (states/eV/f.u.) = 9.29
- calculated density (g/cm3) = 7.8

Geometry as CIF:
```
data_La4Pr3PuN8
_symmetry_space_group_name_H-M 'R -3 m'
_symmetry_Int_Tables_number 166
_symmetry_space_group_name_Hall '-R 3 2"'
_cell_length_a 7.3691
_cell_length_b 7.3691
_cell_length_c 18.0979
_cell_angle_alpha 90.00
_cell_angle_beta 90.00
_cell_angle_gamma 120.00
loop_
_atom_site_label
_atom_site_type_symbol
_atom_site_fract_x
_atom_site_fract_y
_atom_site_fract_z
La1 La 0.0000 0.0000 0.0000
La2 La 0.0000 0.5000 0.0000
Pr1 Pr 0.0000 0.5000 0.5000
Pu1 Pu 0.0000 0.0000 0.5000
N1 N 0.0000 0.0000 0.2498
N2 N 0.0151 0.5075 0.2453
```